1.
Here is crystalline DyHo2Ga3CuGe2 at its relaxed geometry from the Open Quantum Materials Database. Energies are from PBE-GGA.

The structure belongs to space group Amm2 (No. 38); the cell edges are 4.1405, 12.1696 and 7.0186 Å and the angles 90.00°, 90.00° and 90.00°. The inequivalent atoms are Dy at (0.0000, 0.0000, 0.0000), Ho at (0.0000, 0.2000, 0.4001), Ga at (0.5000, 0.0000, 0.3648), Ga at (0.5000, 0.1176, 0.7172), Cu at (0.0000, 0.0000, 0.5987) and Ge at (0.5000, 0.1672, 0.1002).

---

2.
Here is crystalline Tm2AlGaPd4 at its relaxed geometry from the Open Quantum Materials Database. Energies are from PBE-GGA.

The structure belongs to space group P-3m1 (No. 164); the cell edges are 4.3703, 4.3703 and 8.9942 Å and the angles 90.00°, 90.00° and 120.00°. The inequivalent atoms are Tm at (0.3333, 0.6667, 0.2509), Al at (0.0000, 0.0000, 0.0000), Ga at (0.0000, 0.0000, 0.5000), Pd at (0.3333, 0.6667, 0.5829) and Pd at (0.3333, 0.6667, 0.9184).

---

3.
Here is crystalline ErCo2GeB at its relaxed geometry from the Open Quantum Materials Database. Energies are from PBE-GGA.

The structure belongs to space group I4mm (No. 107); the cell edges are 3.7374, 3.7374 and 9.5323 Å and the angles 90.00°, 90.00° and 90.00°. The inequivalent atoms are Er at (0.0000, 0.0000, 0.0000), Co at (0.0000, 0.5000, 0.2768), Ge at (0.0000, 0.0000, 0.6299) and B at (0.0000, 0.0000, 0.3712).

---

4.
Here is crystalline DyHoNi2B4 at its relaxed geometry from the Open Quantum Materials Database. Energies are from PBE-GGA.

The structure belongs to space group P4mm (No. 99); the cell edges are 3.6599, 3.6599 and 7.7504 Å and the angles 90.00°, 90.00° and 90.00°. The inequivalent atoms are Dy at (0.0000, 0.0000, 0.0000), Ho at (0.5000, 0.5000, 0.6428), Ni at (0.0000, 0.5000, 0.3219), B at (0.0000, 0.0000, 0.4548), B at (0.0000, 0.0000, 0.6648), B at (0.5000, 0.5000, 0.1881) and B at (0.5000, 0.5000, 0.9779).

---

These records have DFT total energy values of -4.626 -5.489 -6.566 -6.125 eV per atom, in the order they appear.
These records have M_tot values of 0.002 0.010 0.009 0.218 μB per cell, in the order they appear.